Below is an optimized crystal structure of TiCuB, with properties calculated at the GGA-PBE level.

- Mass density: 5.75 Mg/m³
- Energy of formation from the pure elements: 0.0488 eV/atom
- E: -18.52 eV per formula unit
- Total moment: 0.00 μB per formula unit

a = 3.605 Å, b = 3.605 Å, c = 5.436 Å
α = 90.00°, β = 90.00°, γ = 90.00°
Space group P4/nmm (No. 129, origin choice 2)
Symmetry-distinct sites (fractional):
Ti1 0.250 0.250 0.192
Cu1 0.250 0.250 0.697
B1 0.250 0.750 0.500

Below is an optimized crystal structure of TiCuB3, with properties calculated at the GGA-PBE level.

- Mass density: 3.48 Mg/m³
- Energy of formation from the pure elements: 1.7260 eV/atom
- E: -23.39 eV per formula unit
- Total moment: 0.00 μB per formula unit

a = 4.095 Å, b = 4.095 Å, c = 4.095 Å
α = 90.00°, β = 90.00°, γ = 90.00°
Space group Pm-3m (No. 221)
Symmetry-distinct sites (fractional):
Ti1 0.000 0.000 0.000
Cu1 0.500 0.500 0.500
B1 0.000 0.000 0.500

Below is an optimized crystal structure of TiCuB, with properties calculated at the GGA-PBE level.

- Mass density: 5.80 Mg/m³
- Energy of formation from the pure elements: -0.1684 eV/atom
- E: -19.17 eV per formula unit
- Total moment: 0.00 μB per formula unit

a = 8.488 Å, b = 3.113 Å, c = 6.063 Å
α = 90.00°, β = 119.19°, γ = 90.00°
Space group Cm (No. 8)
Symmetry-distinct sites (fractional):
Ti1 0.000 0.000 0.000
Ti2 0.095 0.500 0.475
Cu1 0.226 0.000 0.852
Cu2 0.283 0.500 0.197
B1 0.332 0.000 0.557
B2 0.425 0.500 0.576

Below is an optimized crystal structure of TiCuB, with properties calculated at the GGA-PBE level.

- Mass density: 6.14 Mg/m³
- Energy of formation from the pure elements: -0.4259 eV/atom
- E: -19.95 eV per formula unit
- Total moment: 0.00 μB per formula unit

a = 8.437 Å, b = 3.275 Å, c = 5.932 Å
α = 90.00°, β = 126.23°, γ = 90.00°
Space group C2/m (No. 12)
Symmetry-distinct sites (fractional):
Ti1 0.074 0.000 0.329
Cu1 0.185 0.500 0.090
B1 0.123 0.500 0.639

Below is an optimized crystal structure of TiCuB3, with properties calculated at the GGA-PBE level.

- Mass density: 4.43 Mg/m³
- Energy of formation from the pure elements: 1.1217 eV/atom
- E: -26.41 eV per formula unit
- Total moment: 0.00 μB per formula unit

a = 3.777 Å, b = 3.777 Å, c = 3.777 Å
α = 90.00°, β = 90.00°, γ = 90.00°
Space group Pm-3m (No. 221)
Symmetry-distinct sites (fractional):
Ti1 0.000 0.000 0.000
Cu1 0.500 0.500 0.500
B1 0.000 0.500 0.500

Below is an optimized crystal structure of TiCuB, with properties calculated at the GGA-PBE level.

- Mass density: 5.39 Mg/m³
- Energy of formation from the pure elements: 0.1449 eV/atom
- E: -18.23 eV per formula unit
- Total moment: 0.00 μB per formula unit

a = 5.615 Å, b = 3.149 Å, c = 8.520 Å
α = 90.00°, β = 90.00°, γ = 90.00°
Space group Pnma (No. 62)
Symmetry-distinct sites (fractional):
Ti1 0.141 0.250 0.243
Cu1 0.137 0.250 0.933
B1 0.000 0.000 0.500

Below is an optimized crystal structure of TiCuB, with properties calculated at the GGA-PBE level.

- Mass density: 5.56 Mg/m³
- Energy of formation from the pure elements: -0.1787 eV/atom
- E: -19.20 eV per formula unit
- Total moment: 0.00 μB per formula unit

a = 5.134 Å, b = 2.963 Å, c = 9.592 Å
α = 90.00°, β = 90.06°, γ = 90.00°
Space group Cm (No. 8)
Symmetry-distinct sites (fractional):
Ti1 0.000 0.000 0.000
Ti2 0.167 0.500 0.374
Cu1 0.000 0.000 0.590
Cu2 0.334 0.000 0.784
B1 0.000 0.000 0.224
B2 0.334 0.000 0.194

Below is an optimized crystal structure of TiCuB, with properties calculated at the GGA-PBE level.

- Mass density: 4.70 Mg/m³
- Energy of formation from the pure elements: 0.5509 eV/atom
- E: -17.02 eV per formula unit
- Total moment: 0.00 μB per formula unit

a = 3.3883 Å, b = 3.3883 Å, c = 8.6826 Å
α = 90.00°, β = 90.00°, γ = 120.00°
Space group P6_3/mmc (No. 194)
Symmetry-distinct sites (fractional):
Ti1 0.0000 0.0000 0.0000
Cu1 0.3333 0.6667 0.2500
B1 0.0000 0.0000 0.2500